1.
VASP calculation (meta-GGA SCAN) on MnAlSb2Te at its PBEsol-relaxed geometry.

Computed properties:
calculated volume = 141.1 Å³ per cell
total magnetization = 4.9 Bohr magnetons per cell
uncorrected formation energy = 0.621 eV/atom

Unit cell a=5.1686 b=5.1686 c=5.2823 alpha=90.00 beta=90.00 gamma=90.00
With the nearest neighbours (Å) after each atom.
Fractional positions:
Mn 0.0000 0.0000 0.0000  4 Te 3.65, 8 Sb 3.70
Al 0.5000 0.5000 0.5000  4 Sb 2.58, 2 Te 2.64
Sb 0.0000 0.5000 0.5000  2 Al 2.58
Sb 0.5000 0.0000 0.5000  2 Al 2.58
Te 0.5000 0.5000 0.0000  2 Al 2.64



2.
VASP calculation (meta-GGA SCAN) on ScMn4Al8 at its PBEsol-relaxed geometry.

Computed properties:
calculated formation energy = -0.410 eV/atom
calculated volume = 180.7 Å³ per cell
total magnetization = 8.9 Bohr magnetons per cell

Unit cell a=6.5637 b=6.5637 c=6.5637 alpha=97.88 beta=97.88 gamma=136.52
With the nearest neighbours (Å) after each atom.
Fractional positions:
Sc 0.0000 0.0000 0.0000  12 Al 2.91-3.06
Mn 0.0000 0.0000 0.5000  2 Mn 2.43, 8 Al 2.49-2.59
Mn 0.0000 0.5000 0.0000  2 Mn 2.43, 8 Al 2.49-2.59
Mn 0.5000 0.0000 0.0000  2 Mn 2.43, 8 Al 2.49-2.59
Mn 0.5000 0.5000 0.5000  2 Mn 2.43, 8 Al 2.49-2.59
Al 0.0000 0.3375 0.3375  4 Mn 2.59, 5 Al 2.65-2.83
Al 0.0000 0.6625 0.6625  4 Mn 2.59, 5 Al 2.65-2.83
Al 0.2849 0.5000 0.7849  4 Mn 2.49, 4 Al 2.62-2.65
Al 0.3375 0.0000 0.3375  4 Mn 2.59, 5 Al 2.65-2.83
Al 0.5000 0.2849 0.7849  4 Mn 2.49, 4 Al 2.62-2.65
Al 0.5000 0.7151 0.2151  4 Mn 2.49, 4 Al 2.62-2.65
Al 0.6625 0.0000 0.6625  4 Mn 2.59, 5 Al 2.65-2.83
Al 0.7151 0.5000 0.2151  4 Mn 2.49, 4 Al 2.62-2.65



3.
VASP calculation (meta-GGA SCAN) on ScMn3Al at its PBEsol-relaxed geometry.

Computed properties:
calculated formation energy = 1.138 eV/atom
calculated volume = 88.6 Å³ per cell
total magnetization = 9.6 Bohr magnetons per cell

Unit cell a=4.4581 b=4.4581 c=4.4581 alpha=90.00 beta=90.00 gamma=90.00
With the nearest neighbours (Å) after each atom.
Fractional positions:
Sc 0.0000 0.0000 0.0000  6 Mn 2.23
Mn 0.0000 0.0000 0.5000  2 Sc 2.23
Mn 0.0000 0.5000 0.0000  2 Sc 2.23
Mn 0.5000 0.0000 0.0000  2 Sc 2.23
Al 0.5000 0.5000 0.5000  12 Mn 3.15



4.
VASP calculation (meta-GGA SCAN) on ScMnAl at its PBEsol-relaxed geometry.

Computed properties:
calculated formation energy = 0.465 eV/atom
calculated volume = 63.6 Å³ per cell
total magnetization = 4.1 Bohr magnetons per cell

Unit cell a=4.4796 b=4.4796 c=4.4796 alpha=60.00 beta=60.00 gamma=60.00
With the nearest neighbours (Å) after each atom.
Fractional positions:
Sc 0.0000 0.0000 0.0000  4 Al 2.74, 4 Mn 2.74
Mn 0.2500 0.2500 0.2500  4 Sc 2.74
Al 0.7500 0.7500 0.7500  4 Sc 2.74